[1]
First-principles (PBE-GGA) data for a relaxed Nd2Sc4N crystal, as listed in Alexandria.

```
Nd2Sc4N
1.0
-2.212 2.212 9.077
2.212 -2.212 9.077
2.212 2.212 -9.077
Nd Sc N
2 4 1
direct
0.183 0.183 0.000
0.817 0.817 0.000
0.000 0.500 0.500
0.380 0.380 0.000
0.500 0.000 0.500
0.620 0.620 0.000
0.500 0.500 0.000
```

## Properties
- calculated volume (Å³/atom) = 25.4
- SG = I4/mmm (139)
- uncorrected formation energy (eV/atom) = -0.3555



[2]
First-principles (PBE-GGA) data for a relaxed NdScN2 crystal, as listed in Alexandria.

```
NdScN2
1.0
1.693 0.977 5.886
-1.693 0.977 5.886
0.000 -1.954 5.886
Nd Sc N
1 1 2
direct
0.000 0.000 0.000
0.829 0.829 0.829
0.415 0.415 0.415
0.568 0.568 0.568
```

## Properties
- calculated volume (Å³/atom) = 14.6
- SG = R3m (160)
- uncorrected formation energy (eV/atom) = -1.2222



[3]
First-principles (PBE-GGA) data for a relaxed NdSc2SiN4 crystal, as listed in Alexandria.

```
NdSc2SiN4
1.0
1.608 -5.592 0.000
1.608 5.592 0.000
0.000 0.000 10.968
Nd Sc Si N
2 4 2 8
direct
0.089 0.911 0.750
0.911 0.089 0.250
0.369 0.631 0.539
0.369 0.631 0.961
0.631 0.369 0.039
0.631 0.369 0.461
0.175 0.825 0.250
0.825 0.175 0.750
0.000 0.000 0.000
0.000 0.000 0.500
0.262 0.738 0.122
0.262 0.738 0.378
0.407 0.593 0.750
0.593 0.407 0.250
0.738 0.262 0.622
0.738 0.262 0.878
```

## Properties
- calculated volume (Å³/atom) = 12.3
- SG = Cmcm (63)
- uncorrected formation energy (eV/atom) = -1.4621



[4]
First-principles (PBE-GGA) data for a relaxed NdZr2ScN4 crystal, as listed in Alexandria.

```
NdZr2ScN4
1.0
-3.330 3.361 4.732
3.330 -3.361 4.732
3.330 3.361 -4.732
Nd Zr Sc N
2 4 2 8
direct
0.500 0.000 0.000
0.500 0.500 0.500
0.000 0.000 0.000
0.000 0.000 0.500
0.000 0.500 0.000
0.500 0.000 0.500
0.000 0.500 0.500
0.500 0.500 0.000
0.227 0.249 0.978
0.229 0.751 0.478
0.240 0.239 0.499
0.240 0.741 0.001
0.760 0.259 0.999
0.760 0.761 0.501
0.771 0.249 0.522
0.773 0.751 0.022
```

## Properties
- calculated volume (Å³/atom) = 13.2
- SG = Imma (74)
- uncorrected formation energy (eV/atom) = -1.6233



[5]
First-principles (PBE-GGA) data for a relaxed Nd4Se3N crystal, as listed in Alexandria.

```
Nd4Se3N
1.0
4.185 -5.819 0.000
4.185 5.819 0.000
0.000 0.000 4.018
Nd Se N
4 3 1
direct
0.211 0.211 0.500
0.222 0.778 0.000
0.778 0.222 0.000
0.789 0.789 0.500
0.000 0.500 0.500
0.500 0.000 0.500
0.500 0.500 0.000
0.000 0.000 0.000
```

## Properties
- calculated volume (Å³/atom) = 24.5
- SG = Cmmm (65)
- uncorrected formation energy (eV/atom) = -1.6789
- polymorph energy (0 for the lowest one) (meV/atom) = 0



[6]
First-principles (PBE-GGA) data for a relaxed Nd3Se3N crystal, as listed in Alexandria.

```
Nd3Se3N
1.0
4.122 -6.228 0.000
4.122 6.228 0.000
-1.468 0.000 7.200
Nd Se N
6 6 2
direct
0.100 0.100 0.317
0.161 0.456 0.777
0.456 0.161 0.777
0.544 0.839 0.223
0.839 0.544 0.223
0.900 0.900 0.683
0.165 0.835 0.000
0.251 0.749 0.500
0.387 0.387 0.145
0.613 0.613 0.855
0.749 0.251 0.500
0.835 0.165 0.000
0.177 0.177 0.641
0.823 0.823 0.359
```

## Properties
- calculated volume (Å³/atom) = 26.4
- SG = C2/m (12)
- uncorrected formation energy (eV/atom) = -1.7377
- polymorph energy (0 for the lowest one) (meV/atom) = 64



[7]
First-principles (PBE-GGA) data for a relaxed Nd5Se4N crystal, as listed in Alexandria.

```
Nd5Se4N
1.0
-2.063 2.063 14.791
2.063 -2.063 14.791
2.063 2.063 -14.791
Nd Se N
5 4 1
direct
0.000 0.000 0.000
0.205 0.205 0.000
0.419 0.419 0.000
0.581 0.581 0.000
0.795 0.795 0.000
0.100 0.100 0.000
0.307 0.307 0.000
0.693 0.693 0.000
0.900 0.900 0.000
0.500 0.500 0.000
```

## Properties
- calculated volume (Å³/atom) = 25.2
- SG = I4/mmm (139)
- uncorrected formation energy (eV/atom) = -1.6861
- polymorph energy (0 for the lowest one) (meV/atom) = 10



[8]
First-principles (PBE-GGA) data for a relaxed Nd5Se4N crystal, as listed in Alexandria.

```
Nd5Se4N
1.0
-4.614 4.614 2.933
4.614 -4.614 2.933
4.614 4.614 -2.933
Nd Se N
5 4 1
direct
0.000 0.000 0.000
0.241 0.409 0.650
0.409 0.759 0.168
0.591 0.241 0.832
0.759 0.591 0.350
0.091 0.693 0.784
0.307 0.091 0.398
0.693 0.909 0.602
0.909 0.307 0.216
0.500 0.500 0.000
```

## Properties
- calculated volume (Å³/atom) = 25.0
- SG = I4/m (87)
- uncorrected formation energy (eV/atom) = -1.6961
- polymorph energy (0 for the lowest one) (meV/atom) = 0



[9]
First-principles (PBE-GGA) data for a relaxed Nd3SeN crystal, as listed in Alexandria.

```
Nd3SeN
1.0
1.912 -9.748 0.000
1.912 9.748 0.000
0.000 0.000 7.148
Nd Se N
6 2 2
direct
0.081 0.919 0.500
0.260 0.740 0.875
0.400 0.600 0.585
0.600 0.400 0.085
0.740 0.260 0.375
0.919 0.081 0.000
0.340 0.660 0.222
0.660 0.340 0.722
0.159 0.841 0.229
0.841 0.159 0.729
```

## Properties
- calculated volume (Å³/atom) = 26.6
- SG = Cmc2_1 (36)
- uncorrected formation energy (eV/atom) = -1.1047



[10]
First-principles (PBE-GGA) data for a relaxed Nd4Se3N crystal, as listed in Alexandria.

```
Nd4Se3N
1.0
9.616 0.000 0.000
0.000 8.381 0.000
0.000 0.000 5.857
Nd Se N
8 6 2
direct
0.000 0.106 0.000
0.000 0.833 0.515
0.217 0.703 0.001
0.283 0.297 0.501
0.500 0.167 0.015
0.500 0.894 0.500
0.717 0.297 0.501
0.783 0.703 0.001
0.000 0.172 0.505
0.238 0.345 0.004
0.262 0.655 0.504
0.500 0.828 0.005
0.738 0.655 0.504
0.762 0.345 0.004
0.000 0.823 0.954
0.500 0.177 0.454
```

## Properties
- calculated volume (Å³/atom) = 29.5
- SG = Pmn2_1 (31)
- uncorrected formation energy (eV/atom) = -1.5111
- polymorph energy (0 for the lowest one) (meV/atom) = 168



[11]
First-principles (PBE-GGA) data for a relaxed Nd3Se3N crystal, as listed in Alexandria.

```
Nd3Se3N
1.0
12.919 0.000 0.000
0.000 4.134 0.000
0.000 0.000 13.573
Nd Se N
12 12 4
direct
0.041 0.250 0.152
0.070 0.250 0.632
0.209 0.250 0.862
0.291 0.750 0.362
0.430 0.750 0.132
0.459 0.750 0.652
0.541 0.250 0.348
0.570 0.250 0.868
0.709 0.250 0.638
0.791 0.750 0.138
0.930 0.750 0.368
0.959 0.750 0.848
0.092 0.250 0.392
0.132 0.750 0.996
0.226 0.750 0.691
0.274 0.250 0.191
0.368 0.250 0.496
0.408 0.750 0.892
0.592 0.250 0.108
0.632 0.750 0.504
0.726 0.750 0.809
0.774 0.250 0.309
0.868 0.250 0.004
0.908 0.750 0.608
0.042 0.250 0.797
0.458 0.750 0.297
0.542 0.250 0.703
0.958 0.750 0.203
```

## Properties
- calculated volume (Å³/atom) = 25.9
- SG = Pnma (62)
- uncorrected formation energy (eV/atom) = -1.8020
- polymorph energy (0 for the lowest one) (meV/atom) = 0



[12]
First-principles (PBE-GGA) data for a relaxed Nd5Se5N crystal, as listed in Alexandria.

```
Nd5Se5N
1.0
6.540 -2.934 0.000
6.540 2.934 0.000
-2.649 0.000 7.729
Nd Se N
5 5 1
direct
0.000 0.000 0.000
0.349 0.349 0.694
0.352 0.352 0.152
0.648 0.648 0.848
0.651 0.651 0.306
0.164 0.164 0.826
0.175 0.175 0.333
0.500 0.500 0.500
0.825 0.825 0.667
0.836 0.836 0.174
0.500 0.500 0.000
```

## Properties
- calculated volume (Å³/atom) = 27.0
- SG = C2/m (12)
- uncorrected formation energy (eV/atom) = -1.7178